11
Lattice="6.799 -3.204 0.000 6.799 3.204 0.000 -0.032 0.000 7.258" Properties=species:S:1:pos:R:3 comment="LiPa2Cl8 | Alexandria via LeMat-Bulk | PBE | optimized geometry" m_tot_mub_per_cell=3.0 e_tot_ev_per_cell=-54.8 pbc="T T T"
Li 0.000 0.000 0.000
Pa 1.576 0.000 3.219
Pa 11.990 0.000 4.039
Cl 2.454 0.000 0.771
Cl 6.361 1.631 2.036
Cl 7.204 1.631 5.222
Cl 4.046 0.000 4.302
Cl 9.519 0.000 2.956
Cl 6.361 -1.631 2.036
Cl 7.204 -1.631 5.222
Cl 11.111 0.000 6.487

22
Lattice="6.666 -4.940 0.000 6.666 4.940 0.000 -3.103 0.000 9.088" Properties=species:S:1:pos:R:3 comment="Li2PaCl8 | Alexandria via LeMat-Bulk | PBE | optimized geometry" polymorph_energy_mev_per_atom=0.0 m_tot_mub_per_cell=1.1 e_tot_ev_per_cell=-89.3 pbc="T T T"
Li 2.142 0.143 0.903
Li 0.591 -0.143 5.447
Li 9.639 0.143 3.641
Li 8.087 -0.143 8.186
Pa 5.891 2.536 2.272
Pa 4.339 -2.536 6.816
Cl 3.595 2.664 3.681
Cl -0.895 0.106 7.471
Cl 0.657 -0.106 2.926
Cl 2.237 2.531 8.740
Cl 4.433 0.361 1.729
Cl 6.441 2.531 4.892
Cl 8.186 2.664 0.863
Cl 2.881 -0.361 6.273
Cl 7.348 0.361 2.815
Cl 2.043 -2.664 8.225
Cl 3.789 -2.531 4.196
Cl 5.797 -0.361 7.360
Cl 7.992 -2.531 0.348
Cl 9.573 0.106 6.162
Cl 11.124 -0.106 1.618
Cl 6.635 -2.664 5.408

8
Lattice="0.000 5.182 5.182 5.182 0.000 5.182 5.182 5.182 0.000" Properties=species:S:1:pos:R:3 comment="LiPaCl6 | Alexandria via LeMat-Bulk | PBE | optimized geometry" polymorph_energy_mev_per_atom=17.3 m_tot_mub_per_cell=0.0 e_tot_ev_per_cell=-37.1 pbc="T T T"
Li 0.000 0.000 0.000
Pa 5.182 5.182 5.182
Cl 5.182 5.182 2.626
Cl 5.182 2.626 5.182
Cl 7.738 5.182 5.182
Cl 2.626 5.182 5.182
Cl 5.182 7.738 5.182
Cl 5.182 5.182 7.738